The following is a DFT calculation (GGA-PBE) of crystalline Tb5Nd2Tm2 at its relaxed geometry.

a b c (Å): 6.1937 6.1767 9.4393
angles (deg): 109.05 70.93 120.07
With the nearest neighbours (Å) after each atom.
Fractional positions:
Tb1 0.2227 0.4450 0.3309  2 Tm 3.54-3.56, 6 Tb 3.55-3.61, 4 Nd 3.57-3.60
Tb2 0.7773 0.5550 0.6691  2 Tm 3.54-3.56, 6 Tb 3.55-3.61, 4 Nd 3.57-3.60
Tb3 0.1097 0.2224 0.6696  6 Tb 3.54-3.61, 2 Tm 3.54-3.55, 4 Nd 3.56-3.61
Tb4 0.8903 0.7776 0.3304  6 Tb 3.54-3.61, 2 Tm 3.54-3.55, 4 Nd 3.56-3.61
Tb5 0.0000 0.0000 0.0000  4 Tb 3.54-3.55, 6 Tm 3.55-3.58, 2 Nd 3.56
Nd1 0.4439 0.8875 0.6696  2 Tm 3.54-3.56, 9 Tb 3.56-3.61, 1 Nd 3.63
Nd2 0.5561 0.1125 0.3304  2 Tm 3.54-3.56, 9 Tb 3.56-3.61, 1 Nd 3.63
Tm1 0.3322 0.6650 0.9998  2 Nd 3.54-3.56, 7 Tb 3.54-3.58, 3 Tm 3.56-3.58
Tm2 0.6678 0.3350 0.0002  2 Nd 3.54-3.56, 7 Tb 3.54-3.58, 3 Tm 3.56-3.58

Output
For the relative energy among the computed polymorphs, the calculation gives 0.00 eV/f.u. Its density of states at the Fermi level is 11.37 states/eV per cell.

---

The following is a DFT calculation (GGA-PBE) of crystalline Tb5Nd3Tm3 at its relaxed geometry.

a b c (Å): 3.4371 11.1826 11.1826
angles (deg): 120.00 90.00 90.00
With the nearest neighbours (Å) after each atom.
Fractional positions:
Tb1 0.5000 0.3333 0.6667  2 Tb 3.44, 3 Nd 3.69, 6 Tm 3.80
Tb2 0.5000 0.6667 0.3333  2 Tb 3.44, 3 Nd 3.69, 6 Tm 3.80
Tb3 0.5000 0.1603 0.1603  4 Tb 3.10-3.44, 2 Tm 3.25, 2 Nd 3.30
Tb4 0.5000 0.0000 0.8397  4 Tb 3.10-3.44, 2 Tm 3.25, 2 Nd 3.30
Tb5 0.5000 0.8397 0.0000  4 Tb 3.10-3.44, 2 Tm 3.25, 2 Nd 3.30
Nd1 0.5000 0.6598 0.6598  4 Tb 3.30-3.69, 2 Tm 3.31, 2 Nd 3.44
Nd2 0.5000 0.0000 0.3402  4 Tb 3.30-3.69, 2 Tm 3.31, 2 Nd 3.44
Nd3 0.5000 0.3402 0.0000  4 Tb 3.30-3.69, 2 Tm 3.31, 2 Nd 3.44
Tm1 0.0000 0.4066 0.4066  2 Tb 3.25, 2 Nd 3.31, 2 Tm 3.44
Tm2 0.0000 0.5934 0.0000  2 Tb 3.25, 2 Nd 3.31, 2 Tm 3.44
Tm3 0.0000 0.0000 0.5934  2 Tb 3.25, 2 Nd 3.31, 2 Tm 3.44

Output
Its density of states at the Fermi level is 16.63 states/eV per cell.

---

The following is a DFT calculation (GGA-PBE) of crystalline Tb8Nd3Tm2 at its relaxed geometry.

a b c (Å): 6.1942 6.1944 11.3102
angles (deg): 79.50 90.00 99.51
With the nearest neighbours (Å) after each atom.
Fractional positions:
Tb1 0.0755 0.4624 0.1581  1 Tm 3.54, 6 Tb 3.56-3.66, 5 Nd 3.58-3.63
Tb2 0.9245 0.5376 0.8419  1 Tm 3.54, 6 Tb 3.56-3.66, 5 Nd 3.58-3.63
Tb3 0.1511 0.9232 0.3116  7 Tb 3.51-3.59, 3 Tm 3.54-3.57, 2 Nd 3.60-3.61
Tb4 0.8489 0.0768 0.6884  7 Tb 3.51-3.59, 3 Tm 3.54-3.57, 2 Nd 3.60-3.61
Tb5 0.3080 0.8457 0.6130  7 Tb 3.51-3.59, 4 Tm 3.55-3.58, 1 Nd 3.57
Tb6 0.3879 0.3080 0.7646  2 Tm 3.52-3.54, 6 Tb 3.57-3.58, 4 Nd 3.58-3.65
Tb7 0.6121 0.6920 0.2354  2 Tm 3.52-3.54, 6 Tb 3.57-3.58, 4 Nd 3.58-3.65
Tb8 0.6920 0.1543 0.3870  7 Tb 3.51-3.59, 4 Tm 3.55-3.58, 1 Nd 3.57
Nd1 0.0000 0.0000 0.0000  4 Nd 3.58-3.59, 8 Tb 3.58-3.62
Nd2 0.5386 0.2310 0.0796  8 Tb 3.57-3.65, 4 Nd 3.58-3.62
Nd3 0.4614 0.7690 0.9204  8 Tb 3.57-3.65, 4 Nd 3.58-3.62
Tm1 0.7692 0.6147 0.5375  10 Tb 3.52-3.58, 2 Tm 3.56-3.57
Tm2 0.2308 0.3853 0.4625  10 Tb 3.52-3.58, 2 Tm 3.56-3.57

Output
For the relative energy among the computed polymorphs, the calculation gives 0.00 eV/f.u. Its density of states at the Fermi level is 19.41 states/eV per cell.

---

The following is a DFT calculation (GGA-PBE) of crystalline Tb3Nd2Tm7 at its relaxed geometry.

a b c (Å): 3.4997 6.2925 17.7975
angles (deg): 75.69 90.00 90.00
With the nearest neighbours (Å) after each atom.
Fractional positions:
Tb1 0.5000 0.5000 0.0000  10 Tm 3.48-3.60, 2 Tb 3.50
Tb2 0.0000 0.1095 0.3424  2 Tb 3.50, 7 Tm 3.57-3.73, 4 Nd 3.58-3.64
Tb3 0.0000 0.8905 0.6576  2 Tb 3.50, 7 Tm 3.57-3.73, 4 Nd 3.58-3.64
Nd1 0.5000 0.6158 0.3254  5 Tm 3.40-3.47, 2 Nd 3.50, 4 Tb 3.58-3.64
Nd2 0.5000 0.3842 0.6746  5 Tm 3.40-3.47, 2 Nd 3.50, 4 Tb 3.58-3.64
Tm1 0.5000 0.2442 0.5005  2 Tm 3.08-3.21, 2 Nd 3.40-3.42
Tm2 0.5000 0.7558 0.4995  2 Tm 3.08-3.21, 2 Nd 3.40-3.42
Tm3 0.0000 0.5632 0.1624  7 Tm 3.46-3.61, 2 Nd 3.47, 3 Tb 3.48-3.73
Tm4 0.0000 0.0000 0.0000  8 Tm 3.46-3.52, 4 Tb 3.60
Tm5 0.0000 0.4368 0.8376  7 Tm 3.46-3.61, 2 Nd 3.47, 3 Tb 3.48-3.73
Tm6 0.5000 0.9378 0.8349  1 Nd 3.47, 3 Tb 3.50-3.68, 8 Tm 3.50-3.61
Tm7 0.5000 0.0622 0.1651  1 Nd 3.47, 3 Tb 3.50-3.68, 8 Tm 3.50-3.61

Output
For the relative energy among the computed polymorphs, the calculation gives 0.00 eV/f.u. Its density of states at the Fermi level is 17.61 states/eV per cell.

---

Number 1: E_form 0.02 eV/atom. Number 2: E_form 0.33 eV/atom. Number 3: E_form 0.02 eV/atom. Number 4: E_form 0.09 eV/atom.